Below is crystalline KLi3 at its relaxed geometry, with properties calculated at the PBEsol level.

Values from the calculation:
**N(E_F)**: 0.559 states/eV per atom
**Formation energy**: 0.138 eV per atom
**Crystal system**: orthorhombic

a b c (Å): 3.4073 5.1175 7.2203
angles (deg): 90.00 90.00 90.00
Last column: nearest neighbours and their distance in Å.
Fractional positions:
K 0.0000 0.0000 0.0308  2 K 3.41, 6 Li 3.63-3.77
Li 0.5000 0.5000 0.7279  4 Li 2.97-2.99
Li 0.0000 0.5000 0.3882  6 Li 2.99-3.22
Li 0.5000 0.0000 0.5198  6 Li 2.97-3.22